No. 1
# GdSnBi (GGA-PBE, relaxed)
data_GdSnBi
_chemical_formula_sum 'Gd1 Sn1 Bi1'
_symmetry_space_group_name_H-M 'P 1'
_symmetry_Int_Tables_number 1
_symmetry_space_group_name_Hall 'P 1'
_cell_length_a 4.051
_cell_length_b 4.051
_cell_length_c 5.953
_cell_angle_alpha 109.89
_cell_angle_beta 109.89
_cell_angle_gamma 90.00
loop_
_atom_site_label
_atom_site_type_symbol
_atom_site_fract_x
_atom_site_fract_y
_atom_site_fract_z
Bi1 Bi 0.951 0.951 0.903
Gd1 Gd 0.616 0.616 0.232
Sn1 Sn 0.283 0.283 0.565
# ΔE to the lowest computed polymorph (meV/atom): 0
# DFT formation energy (meV per atom): -438
# SG: I4mm (107)
# Density (g/cm3): 9.4


No. 2
# HgRh2Se (GGA-PBE, relaxed)
data_HgRh2Se
_chemical_formula_sum 'Hg1 Rh2 Se1'
_symmetry_space_group_name_H-M 'P 1'
_symmetry_Int_Tables_number 1
_symmetry_space_group_name_Hall 'P 1'
_cell_length_a 4.001
_cell_length_b 4.001
_cell_length_c 6.278
_cell_angle_alpha 78.78
_cell_angle_beta 78.78
_cell_angle_gamma 46.80
loop_
_atom_site_label
_atom_site_type_symbol
_atom_site_fract_x
_atom_site_fract_y
_atom_site_fract_z
Hg1 Hg 0.750 0.750 0.750
Rh1 Rh 0.994 0.994 0.053
Se1 Se 0.250 0.250 0.250
Rh2 Rh 0.506 0.506 0.447
# Uncorrected formation energy (eV per atom): 0.055
# SG: C2/m (12)
# Density (g/cm3): 11.3


No. 3
# LiEr3Tm3S8 (GGA-PBE, relaxed)
data_LiEr3Tm3S8
_chemical_formula_sum 'Li1 Er3 Tm3 S8'
_symmetry_space_group_name_H-M 'P 1'
_symmetry_Int_Tables_number 1
_symmetry_space_group_name_Hall 'P 1'
_cell_length_a 7.663
_cell_length_b 7.663
_cell_length_c 7.667
_cell_angle_alpha 119.99
_cell_angle_beta 90.00
_cell_angle_gamma 120.00
loop_
_atom_site_label
_atom_site_type_symbol
_atom_site_fract_x
_atom_site_fract_y
_atom_site_fract_z
S1 S 0.754 0.001 0.255
S2 S 0.753 0.999 0.745
Tm1 Tm 0.000 0.500 0.500
S3 S 0.246 0.492 0.745
S4 S 0.754 0.508 0.255
Er1 Er 0.500 0.500 0.000
Li1 Li 0.000 0.000 0.500
S5 S 0.251 0.501 0.252
Er2 Er 0.000 0.500 0.000
Tm2 Tm 0.500 0.000 0.500
Er3 Er 0.000 0.000 0.000
S6 S 0.749 0.499 0.748
Tm3 Tm 0.500 0.500 0.500
S7 S 0.246 0.999 0.745
S8 S 0.247 0.001 0.255
# Uncorrected formation energy (eV per atom): -1.984
# SG: R-3m (166)
# Density (g/cm3): 6.6